No. 1
Density functional theory data (GGA-PBE) for a geometry-optimized AgO2 structure. Values from VASP.

```
&SYSTEM
  ibrav = 0, nat = 6, ntyp = 2
/
ATOMIC_SPECIES
O 16.00 O.upf
Ag 107.87 Ag.upf
ATOMIC_POSITIONS angstrom
O 0.4840 -5.1368 0.8081
O -1.0914 -5.0442 -0.7992
Ag 0.0000 0.0000 0.0000
O 1.0892 -4.9256 -1.3513
O 0.2190 -6.8666 -0.6102
Ag 0.0876 -2.7466 -0.2441
CELL_PARAMETERS angstrom
2.6208 -3.6448 0.3781
-1.7405 -3.8820 1.4823
-0.5300 -3.4597 -2.8366
```

Space group: No. 227

=====

No. 2
Density functional theory data (GGA-PBE) for a geometry-optimized Ag2O structure. Values from VASP.

```
&SYSTEM
  ibrav = 0, nat = 12, ntyp = 2
/
ATOMIC_SPECIES
Ag 107.87 Ag.upf
O 16.00 O.upf
ATOMIC_POSITIONS angstrom
Ag 4.8862 2.3008 0.2253
Ag 0.0828 2.3008 6.4579
Ag 2.2692 0.7669 7.7984
Ag 1.3085 2.3008 3.7866
O 5.3627 2.3008 2.4480
O 5.3705 0.7669 6.4598
O 1.7850 2.3008 1.5639
Ag 3.6605 2.3008 5.5776
Ag 7.0727 0.7669 1.5658
Ag 3.4950 0.7669 2.4461
O 1.7927 0.7669 5.5757
Ag 5.8469 0.7669 4.2371
CELL_PARAMETERS angstrom
7.1555 0.0000 0.0000
0.0000 3.0677 0.0000
0.0000 0.0000 8.0237
```

Space group: No. 62
Distance to the lowest polymorph of the same formula, eV/atom: 0.061

=====

No. 3
Density functional theory data (GGA-PBE) for a geometry-optimized AgO structure. Values from VASP.

```
&SYSTEM
  ibrav = 0, nat = 2, ntyp = 2
/
ATOMIC_SPECIES
O 16.00 O.upf
Ag 107.87 Ag.upf
ATOMIC_POSITIONS angstrom
O 0.0000 1.7951 0.7491
Ag 1.5546 0.8976 2.2472
CELL_PARAMETERS angstrom
3.1093 0.0000 0.0000
-1.5546 2.6927 0.0000
0.0000 0.0000 2.9962
```

Space group: No. 187

=====

no.,final energy (eV/atom)
1,-3.0212
2,-3.5131
3,-3.6916